Entry 1:
PrPaRuAu: relaxed, PBE.

Symmetry: No. 216
Energy relative to the elements (eV per atom): -0.23
E (eV per cell): -27.8

Unit cell a=5.0508 b=5.0508 c=5.0508 alpha=60.00 beta=60.00 gamma=60.00
With the nearest neighbours (Å) after each atom.
Fractional positions:
Pr 0.5000 0.5000 0.5000  4 Ru 3.09, 4 Au 3.09
Ru 0.2500 0.2500 0.2500  4 Pa 3.09, 4 Pr 3.09
Pa 0.0000 0.0000 0.0000  4 Au 3.09, 4 Ru 3.09
Au 0.7500 0.7500 0.7500  4 Pa 3.09, 4 Pr 3.09



Entry 2:
CaAlGa: relaxed, PBE.

Symmetry: No. 129
Energy relative to the elements (eV per atom): -0.42
E (eV per cell): -20.0

Unit cell a=4.2650 b=7.4156 c=4.2651 alpha=90.00 beta=90.00 gamma=90.00
With the nearest neighbours (Å) after each atom.
Fractional positions:
Ca 0.7138 0.7271 0.7838  5 Ga 3.12-3.27, 4 Al 3.26
Ca 0.2138 0.0627 0.2838  5 Ga 3.12-3.27, 4 Al 3.26
Al 0.2138 0.3949 0.7838  4 Ga 2.72, 4 Al 3.02
Al 0.7138 0.3949 0.2838  4 Ga 2.72, 4 Al 3.02
Ga 0.2138 0.6217 0.2838  4 Al 2.72
Ga 0.7138 0.1682 0.7838  4 Al 2.72



Among the records above, which one has the lowest E? PrPaRuAu



Which of these has the lowest E? PrPaRuAu



Which value of E does entry 2 give? -20.0 eV per cell



Which formula does entry 1 have? PrPaRuAu